# 1
Here is an optimized crystal structure of Al2InBi2 from Alexandria. Energies are from GGA-PBEsol.

Values from the calculation:
total energy: -37.9 eV/cell
formation energy from the elements: 0.769 eV per formula unit

Cell and atoms, written as CIF:
```
data_Al2InBi2
_chemical_formula_sum 'Al4 In2 Bi4'
_symmetry_space_group_name_H-M 'P 1'
_symmetry_Int_Tables_number 1
_cell_length_a 4.234
_cell_length_b 4.234
_cell_length_c 15.095
_cell_angle_alpha 90.00
_cell_angle_beta 90.00
_cell_angle_gamma 90.00
loop_
_symmetry_equiv_pos_as_xyz
'x,y,z'
loop_
_atom_site_label
_atom_site_type_symbol
_atom_site_fract_x
_atom_site_fract_y
_atom_site_fract_z
Al1 Al 0.000 0.500 0.250
Al2 Al 0.000 0.500 0.750
Al3 Al 0.500 0.000 0.250
Al4 Al 0.500 0.000 0.750
In1 In 0.000 0.000 0.000
In2 In 0.500 0.500 0.500
Bi1 Bi 0.000 0.000 0.382
Bi2 Bi 0.000 0.000 0.618
Bi3 Bi 0.500 0.500 0.118
Bi4 Bi 0.500 0.500 0.882
```

---

# 2
Here is an optimized crystal structure of AlBiSb2Ir from Alexandria. Energies are from GGA-PBEsol.

Values from the calculation:
total energy: -17.6 eV/cell
formation energy from raw total energies: 44.75 kcal/mol of atoms

Cell and atoms, written as CIF:
```
data_AlBiSb2Ir
_chemical_formula_sum 'Al1 Bi1 Sb2 Ir1'
_symmetry_space_group_name_H-M 'P 1'
_symmetry_Int_Tables_number 1
_cell_length_a 5.627
_cell_length_b 5.627
_cell_length_c 5.062
_cell_angle_alpha 90.00
_cell_angle_beta 90.00
_cell_angle_gamma 90.00
loop_
_symmetry_equiv_pos_as_xyz
'x,y,z'
loop_
_atom_site_label
_atom_site_type_symbol
_atom_site_fract_x
_atom_site_fract_y
_atom_site_fract_z
Al1 Al 0.000 0.000 0.000
Bi1 Bi 0.000 0.000 0.500
Sb1 Sb 0.000 0.500 0.500
Sb2 Sb 0.500 0.000 0.500
Ir1 Ir 0.500 0.500 0.000
```

---

# 3
Here is an optimized crystal structure of LaAlBiMo2 from Alexandria. Energies are from GGA-PBEsol.

Values from the calculation:
total energy: -26.9 eV/cell
formation energy from the elements: 10.371 eV per formula unit

Cell and atoms, written as CIF:
```
data_LaAlBiMo2
_chemical_formula_sum 'La1 Al1 Bi1 Mo2'
_symmetry_space_group_name_H-M 'P 1'
_symmetry_Int_Tables_number 1
_cell_length_a 4.726
_cell_length_b 4.726
_cell_length_c 6.088
_cell_angle_alpha 90.00
_cell_angle_beta 90.00
_cell_angle_gamma 90.00
loop_
_symmetry_equiv_pos_as_xyz
'x,y,z'
loop_
_atom_site_label
_atom_site_type_symbol
_atom_site_fract_x
_atom_site_fract_y
_atom_site_fract_z
La1 La 0.000 0.000 0.000
Al1 Al 0.500 0.500 0.500
Bi1 Bi 0.000 0.000 0.500
Mo1 Mo 0.000 0.500 0.000
Mo2 Mo 0.500 0.000 0.000
```